P) Compound: Mg3CoGe
Source: the Alexandria database
Functional: PBE-GGA
Structure: optimized geometry

```
5
Lattice="-0.388 4.433 2.233 1.150 -2.098 4.366 4.828 0.856 -0.860" Properties=species:S:1:pos:R:3 pbc="T T T"
Mg -0.194 2.216 1.116
Mg 0.575 -1.049 2.183
Mg 2.414 0.428 -0.430
Co 2.795 1.595 2.869
Ge 0.000 0.000 0.000
```

Q) Compound: Mg3CoGe
Source: the Alexandria database
Functional: PBE-GGA
Structure: optimized geometry

```
5
Lattice="4.763 0.000 0.000 0.000 4.763 0.000 0.000 0.000 4.763" Properties=species:S:1:pos:R:3 pbc="T T T"
Co 0.000 0.000 0.000
Mg 0.000 0.000 2.381
Mg 0.000 2.381 0.000
Mg 2.381 0.000 0.000
Ge 2.381 2.381 2.381
```

Sorted by energy, starting with the most stable: Q), P).

P) Compound: MgCo3Ge
Source: the Alexandria database
Functional: PBE-GGA
Structure: optimized geometry

```
10
Lattice="-3.758 1.684 2.408 -0.487 -7.362 4.389 4.165 4.085 -1.082" Properties=species:S:1:pos:R:3 pbc="T T T"
Mg 1.025 0.677 1.126
Mg -1.105 -2.270 4.589
Co 2.578 -1.188 2.492
Co 0.699 -0.346 3.696
Co -0.764 2.889 1.513
Co -2.658 -0.405 3.223
Co -0.779 -1.247 2.019
Co 0.683 -4.483 4.202
Ge -1.879 0.842 1.204
Ge -0.244 -3.681 2.195
```

Q) Compound: MgCo3Ge
Source: the Alexandria database
Functional: PBE-GGA
Structure: optimized geometry

```
5
Lattice="4.326 0.000 0.000 0.000 4.326 0.000 0.000 0.000 4.326" Properties=species:S:1:pos:R:3 pbc="T T T"
Co 2.163 0.000 0.000
Co 0.000 2.163 0.000
Co 0.000 0.000 2.163
Mg 0.000 0.000 0.000
Ge 2.163 2.163 2.163
```

Sorted by energy, starting with the most stable: P), Q).

P) Compound: MgCo2Ge3
Source: the Alexandria database
Functional: PBE-GGA
Structure: optimized geometry

```
6
Lattice="-0.533 -2.413 1.398 3.596 -3.153 -4.071 2.192 2.581 5.288" Properties=species:S:1:pos:R:3 pbc="T T T"
Ge 3.256 -0.051 4.035
Ge 4.011 -3.133 -0.996
Ge 3.615 -1.590 1.516
Co 2.828 -1.068 -0.765
Co 2.431 0.548 1.871
Mg 0.469 -0.047 0.097
```

Q) Compound: MgCo2Ge3
Source: the Alexandria database
Functional: PBE-GGA
Structure: optimized geometry

```
12
Lattice="5.143 -0.021 -0.023 0.024 5.868 0.005 0.024 -0.548 5.842" Properties=species:S:1:pos:R:3 pbc="T T T"
Co 0.024 0.899 4.526
Co 0.024 4.421 1.322
Co 2.595 0.889 4.514
Co 2.595 4.410 1.310
Ge 1.289 0.380 0.418
Ge 1.321 2.870 5.238
Ge 3.870 0.355 2.473
Ge 3.902 4.919 5.407
Ge 1.321 4.944 3.351
Ge 3.870 2.428 0.586
Mg 1.306 2.202 2.420
Mg 3.885 3.097 3.404
```

Sorted by energy, starting with the most stable: Q), P).

P) Compound: MnCo2Ge2
Source: the Alexandria database
Functional: PBE-GGA
Structure: optimized geometry

```
5
Lattice="3.787 0.000 0.000 0.000 3.787 0.000 1.894 1.894 5.027" Properties=species:S:1:pos:R:3 pbc="T T T"
Ge 3.787 3.787 3.824
Ge 1.894 1.894 1.204
Co 3.787 1.894 2.514
Co 1.894 3.787 2.514
Mn 0.000 0.000 0.000
```

Q) Compound: MnCo2Ge2
Source: the Alexandria database
Functional: PBE-GGA
Structure: optimized geometry

```
10
Lattice="-5.677 -3.438 -1.734 -1.134 -1.459 6.606 -1.458 2.281 0.254" Properties=species:S:1:pos:R:3 pbc="T T T"
Co -5.343 -2.317 4.688
Co -2.926 -0.299 0.437
Co -6.011 -2.336 1.008
Co -2.258 -0.281 4.117
Mn -3.405 -2.449 2.436
Mn 0.000 0.000 0.000
Ge -2.914 -2.418 4.982
Ge -5.538 -3.860 2.864
Ge -3.896 -2.479 -0.110
Ge -1.272 -1.037 2.008
```

Sorted by energy, starting with the most stable: Q), P).